# Na3AcHo2O6

A relaxed Na3AcHo2O6 crystal (PBE, Alexandria via LeMat-Bulk).

Magnetization   0.000 Bohr magnetons per cell
Crystal system   monoclinic
E_form (uncorrected)   -2.691 eV per atom
Uncorrected energy   -6.606 eV per atom

POSCAR file:
```
Na3AcHo2O6
1.0
7.768 -1.754 0.000
7.768 1.754 0.000
-1.374 0.000 6.777
Na Ac Ho O
3 1 2 6
direct
0.000 0.000 0.000
0.322 0.322 0.661
0.678 0.678 0.339
0.000 0.000 0.500
0.331 0.331 0.153
0.669 0.669 0.847
0.164 0.164 0.621
0.180 0.180 0.067
0.481 0.481 0.242
0.519 0.519 0.758
0.820 0.820 0.933
0.836 0.836 0.379
```

# Li4TlRh

A relaxed Li4TlRh crystal (PBE, Alexandria via LeMat-Bulk).

Magnetization   0.000 Bohr magnetons per cell
Crystal system   orthorhombic
Uncorrected energy   -3.090 eV per atom
E above lowest polymorph   0 meV/atom

POSCAR file:
```
Li4TlRh
1.0
2.772 -7.627 0.000
2.772 7.627 0.000
0.000 0.000 4.401
Li Tl Rh
8 2 2
direct
0.031 0.447 0.250
0.178 0.261 0.250
0.261 0.178 0.750
0.447 0.031 0.750
0.553 0.969 0.250
0.739 0.822 0.250
0.822 0.739 0.750
0.969 0.553 0.750
0.379 0.621 0.750
0.621 0.379 0.250
0.126 0.874 0.250
0.874 0.126 0.750
```

# BaNa2MgHg

A relaxed BaNa2MgHg crystal (PBE, Alexandria via LeMat-Bulk).

Magnetization   0.000 Bohr magnetons per cell
Crystal system   tetragonal
Uncorrected energy   -1.327 eV per atom

POSCAR file:
```
BaNa2MgHg
1.0
5.823 0.000 0.000
0.000 5.823 0.000
0.000 0.000 5.480
Ba Na Mg Hg
1 2 1 1
direct
0.000 0.000 0.000
0.000 0.500 0.500
0.500 0.000 0.500
0.500 0.500 0.000
0.500 0.500 0.500
```

# BeCuAs

A relaxed BeCuAs crystal (PBE, Alexandria via LeMat-Bulk).

Magnetization   0.000 Bohr magnetons per cell
Crystal system   monoclinic
Uncorrected energy   -4.151 eV per atom

POSCAR file:
```
BeCuAs
1.0
7.261 0.000 0.000
0.000 3.787 0.000
-2.039 0.000 6.379
Be Cu As
4 4 4
direct
0.000 0.000 0.000
0.010 0.500 0.460
0.500 0.500 0.000
0.510 0.000 0.460
0.218 0.500 0.252
0.223 0.000 0.526
0.718 0.000 0.252
0.723 0.500 0.526
0.363 0.000 0.088
0.446 0.500 0.644
0.863 0.500 0.088
0.946 0.000 0.644
```